No. 1
Here is a relaxed Ho8Er6Cd crystal from Alexandria. Energies are from PBE-GGA.

Its volume is 476 Å³ per cell. For the formation energy, the calculation gives 228 meV per atom.

Cell: 9.0847 9.0847 6.6566 Å, 90.00 90.00 120.00°
Positions (direct):
Ho1 0.0127 0.6879 0.1142
Ho2 0.3121 0.3248 0.1142
Ho3 0.3248 0.0127 0.8858
Ho4 0.3333 0.6667 0.8186
Ho5 0.6667 0.3333 0.1814
Ho6 0.6752 0.9873 0.1142
Ho7 0.6879 0.6752 0.8858
Ho8 0.9873 0.3121 0.8858
Er1 0.0808 0.4013 0.3943
Er2 0.3205 0.9192 0.3943
Er3 0.4013 0.3205 0.6057
Er4 0.5987 0.6795 0.3943
Er5 0.6795 0.0808 0.6057
Er6 0.9192 0.5987 0.6057
Cd1 0.0000 0.0000 0.5000

---

No. 2
Here is a relaxed Th2CuSn crystal from Alexandria. Energies are from PBE-GGA.

Its volume is 215 Å³ per cell. The energy above the most stable polymorph in this dataset comes out at 0 meV per atom. For the formation energy, the calculation gives -340 meV per atom.

Cell: 6.2859 4.1728 8.7759 Å, 90.00 110.93 90.00°
Positions (direct):
Th1 0.1899 0.2500 0.4041
Th2 0.2570 0.7500 0.0531
Th3 0.7430 0.2500 0.9469
Th4 0.8101 0.7500 0.5959
Cu1 0.1475 0.2500 0.7848
Cu2 0.8525 0.7500 0.2152
Sn1 0.3699 0.7500 0.7094
Sn2 0.6301 0.2500 0.2906

---

No. 3
Here is a relaxed LiGa3Ru crystal from Alexandria. Energies are from PBE-GGA.

Its volume is 150 Å³ per cell. The energy above the most stable polymorph in this dataset comes out at 12 meV per atom. For the formation energy, the calculation gives -241 meV per atom.

Cell: 3.2554 4.1236 11.2681 Å, 90.00 98.27 90.00°
Positions (direct):
Li1 0.2391 0.0000 0.4794
Li2 0.7609 0.5000 0.5206
Ga1 0.0371 0.9985 0.0760
Ga2 0.1579 0.4996 0.3157
Ga3 0.3608 0.4988 0.7214
Ga4 0.6392 0.9988 0.2786
Ga5 0.8421 0.9996 0.6843
Ga6 0.9629 0.4985 0.9240
Ru1 0.4431 0.9989 0.8841
Ru2 0.5569 0.4989 0.1159

---

- Number 3 is which compound?
  LiGa3Ru